A relaxed structure of TmAlZn4, computed with PBE.

Cell lengths 4.3249, 15.4764, 6.6735 Å; angles 90.00, 90.00, 90.00 degrees
Space group Cmcm (No. 63)
Symmetry-distinct sites (fractional):
Tm: 0.0000 0.1212 0.2500 x4
Al: 0.0000 0.3427 0.2500 x4
Zn: 0.0000 0.0655 0.7500 x4
Zn: 0.0000 0.2607 0.5760 x8
Zn: 0.0000 0.5000 0.0000 x4

Results
- DFT formation energy (eV/atom) = -0.060
- distance to the lowest polymorph of the same formula (meV/atom) = 68.3
- total magnetic moment (μB/f.u.) = 0.00